The following is a DFT calculation (PBE) of a relaxed structure of ReGe2.

Cell lengths 6.364, 6.402, 3.005 Å; angles 90.00, 90.00, 90.00 degrees
Fractional coordinates of all 6 atoms:
Re (0.000, 0.000, 0.000)
Re (0.500, 0.500, 0.500)
Ge (0.221, 0.221, 0.500)
Ge (0.279, 0.721, 0.000)
Ge (0.721, 0.279, 0.000)
Ge (0.779, 0.779, 0.500)

The density of states at the Fermi level is 0.4272 states/eV/atom. The calculation puts the magnetization at 0.0 μB/f.u. Its formation energy is 0.2428 eV per atom. The calculation puts the energy above the most stable polymorph in this dataset at 246 meV per atom. As for the final energy: -41.91 eV/cell.

***

The following is a DFT calculation (PBE) of a relaxed structure of ScIn2Br5.

Cell lengths 9.340, 9.340, 10.220 Å; angles 119.83, 119.83, 48.32 degrees
Fractional coordinates of all 16 atoms:
Sc (0.000, 0.000, 0.000)
Sc (0.000, 0.000, 0.500)
In (0.325, 0.365, 0.505)
In (0.365, 0.325, 0.005)
In (0.635, 0.675, 0.995)
In (0.675, 0.635, 0.495)
Br (0.077, 0.277, 0.630)
Br (0.141, 0.859, 0.250)
Br (0.251, 0.638, 0.863)
Br (0.277, 0.077, 0.130)
Br (0.362, 0.749, 0.637)
Br (0.638, 0.251, 0.363)
Br (0.723, 0.923, 0.870)
Br (0.749, 0.362, 0.137)
Br (0.859, 0.141, 0.750)
Br (0.923, 0.723, 0.370)

For the uncorrected formation energy, the calculation gives -1173 meV/atom. The density of states at the Fermi level is 0.0000 states/eV/atom. The calculation puts the magnetization at 0.0 μB/f.u. As for the final energy: -59.11 eV/cell.

***

The following is a DFT calculation (PBE) of a relaxed structure of LiSm3Rh2.

Cell lengths 4.996, 4.996, 12.380 Å; angles 90.00, 90.00, 120.00 degrees
Fractional coordinates of all 12 atoms:
Li (0.333, 0.667, 0.170)
Li (0.667, 0.333, 0.830)
Sm (0.000, 0.000, 0.260)
Sm (0.000, 0.000, 0.740)
Sm (0.333, 0.667, 0.425)
Sm (0.333, 0.667, 0.918)
Sm (0.667, 0.333, 0.082)
Sm (0.667, 0.333, 0.575)
Rh (0.000, 0.000, 0.000)
Rh (0.000, 0.000, 0.500)
Rh (0.333, 0.667, 0.675)
Rh (0.667, 0.333, 0.325)

The density of states at the Fermi level is 0.7076 states/eV/atom. The calculation puts the magnetization at 0.0 μB/f.u. Its formation energy is -0.5149 eV per atom. As for the final energy: -67.73 eV/cell.

***

The following is a DFT calculation (PBE) of a relaxed structure of Li2GaAu6.

Cell lengths 6.250, 6.250, 6.250 Å; angles 135.50, 104.00, 92.58 degrees
Fractional coordinates of all 9 atoms:
Li (0.164, 0.164, 0.000)
Li (0.836, 0.836, 0.000)
Ga (0.500, 0.500, 0.000)
Au (0.024, 0.334, 0.690)
Au (0.312, 0.000, 0.312)
Au (0.356, 0.666, 0.690)
Au (0.644, 0.334, 0.310)
Au (0.688, 0.000, 0.688)
Au (0.976, 0.666, 0.310)

The density of states at the Fermi level is 0.3144 states/eV/atom. The calculation puts the magnetization at 0.0 μB/f.u. Its formation energy is -0.2642 eV per atom. The calculation puts the energy above the most stable polymorph in this dataset at 89 meV per atom. As for the final energy: -28.90 eV/cell.

***

The following is a DFT calculation (PBE) of a relaxed structure of YNi2.

Cell lengths 5.407, 4.931, 7.490 Å; angles 90.00, 90.00, 90.00 degrees
Fractional coordinates of all 12 atoms:
Y (0.238, 0.250, 0.093)
Y (0.262, 0.750, 0.593)
Y (0.738, 0.250, 0.407)
Y (0.762, 0.750, 0.907)
Ni (0.005, 0.750, 0.251)
Ni (0.236, 0.250, 0.465)
Ni (0.264, 0.750, 0.965)
Ni (0.495, 0.250, 0.751)
Ni (0.505, 0.750, 0.249)
Ni (0.736, 0.250, 0.035)
Ni (0.764, 0.750, 0.535)
Ni (0.995, 0.250, 0.749)

The density of states at the Fermi level is 0.5035 states/eV/atom. The calculation puts the magnetization at 0.0 μB/f.u. Its formation energy is -0.2217 eV per atom. As for the final energy: -74.77 eV/cell.

***

The following is a DFT calculation (PBE) of a relaxed structure of HfZrVGa.

Cell lengths 4.714, 4.714, 4.714 Å; angles 60.00, 60.00, 60.00 degrees
Fractional coordinates of all 4 atoms:
Hf (0.000, 0.000, 0.000)
Zr (0.500, 0.500, 0.500)
V (0.250, 0.250, 0.250)
Ga (0.750, 0.750, 0.750)

The density of states at the Fermi level is 0.6177 states/eV/atom. The calculation puts the magnetization at 1.6 μB/f.u. Its formation energy is -0.1383 eV per atom. As for the final energy: -31.20 eV/cell.

***

> Look up the final energy of the sixth one.

-31.20 eV/cell

***

> Number 1 is which compound?

ReGe2